No. 1
First-principles (PBE) data for a relaxed structure of Ba2HoGe3Pt4, as listed in Alexandria via LeMat-Bulk.

Output
Final energy   -5.472 eV per atom
Formation energy   -80 kJ/mol of atoms
DOS at the Fermi energy   4.89 states/eV per cell

a = 4.531 Å, b = 4.531 Å, c = 10.998 Å
α = 90.00°, β = 90.00°, γ = 90.00°
Space group P-4m2 (No. 115)
Symmetry-distinct sites (fractional):
Ba (0.000, 0.500, 0.236) x2
Ho (0.000, 0.000, 0.500) x1
Ge (0.000, 0.500, 0.885) x2
Ge (0.500, 0.500, 0.500) x1
Pt (0.000, 0.000, 0.000) x1
Pt (0.000, 0.500, 0.648) x2
Pt (0.500, 0.500, 0.000) x1

---

No. 2
First-principles (PBE) data for a relaxed structure of Ba2HoGeTe5, as listed in Alexandria via LeMat-Bulk.

Output
ΔE_f (raw)   -1.206 eV/atom
Final energy   -4.401 eV per atom
DOS at the Fermi energy   4.66 states/eV per cell

a = 4.730 Å, b = 20.397 Å, c = 13.795 Å
α = 90.00°, β = 90.00°, γ = 90.00°
Space group Cmc2_1 (No. 36)
Symmetry-distinct sites (fractional):
Ba (0.000, 0.121, 0.000) x4
Ba (0.000, 0.123, 0.633) x4
Ho (0.000, 0.207, 0.338) x4
Ge (0.000, 0.439, 0.756) x4
Te (0.000, 0.049, 0.355) x4
Te (0.000, 0.295, 0.981) x4
Te (0.000, 0.313, 0.685) x4
Te (0.000, 0.353, 0.318) x4
Te (0.000, 0.499, 0.584) x4

---

No. 3
First-principles (PBE) data for a relaxed structure of BaHoZn2Ge2, as listed in Alexandria via LeMat-Bulk.

Output
Final energy   -3.594 eV per atom
Formation energy   -53 kJ/mol of atoms
DOS at the Fermi energy   3.86 states/eV per cell

a = 4.3053 Å, b = 4.3053 Å, c = 8.9260 Å
α = 90.00°, β = 90.00°, γ = 120.00°
Space group P-3m1 (No. 164)
Symmetry-distinct sites (fractional):
Ba (0.0000, 0.0000, 0.0000) x1
Ho (0.0000, 0.0000, 0.5000) x1
Zn (0.3333, 0.6667, 0.7075) x2
Ge (0.3333, 0.6667, 0.2852) x2

---

No. 4
First-principles (PBE) data for a relaxed structure of Ba2Ge2I, as listed in Alexandria via LeMat-Bulk.

Output
ΔE_f (raw)   -0.763 eV/atom
Final energy   -3.689 eV per atom
Relative energy among the computed polymorphs   0.179 eV per atom
DOS at the Fermi energy   4.88 states/eV per cell

a = 9.311 Å, b = 9.311 Å, c = 4.696 Å
α = 90.00°, β = 90.00°, γ = 90.00°
Space group P4/mbm (No. 127)
Symmetry-distinct sites (fractional):
Ba (0.183, 0.317, 0.000) x4
Ge (0.089, 0.589, 0.500) x4
I (0.000, 0.000, 0.000) x2

---

No. 5
First-principles (PBE) data for a relaxed structure of Ba2Ge2I, as listed in Alexandria via LeMat-Bulk.

Output
ΔE_f (raw)   -0.918 eV/atom
Final energy   -3.844 eV per atom
Relative energy among the computed polymorphs   0.023 eV per atom
DOS at the Fermi energy   4.89 states/eV per cell

a = 9.040 Å, b = 19.410 Å, c = 4.242 Å
α = 90.00°, β = 90.00°, γ = 90.00°
Space group Imma (No. 74)
Symmetry-distinct sites (fractional):
Ba (0.250, 0.109, 0.250) x8
Ge (0.000, 0.038, 0.749) x8
I (0.000, 0.250, 0.071) x4

---

No. 6
First-principles (PBE) data for a relaxed structure of Ba2Ge2I, as listed in Alexandria via LeMat-Bulk.

Output
ΔE_f (raw)   -0.941 eV/atom
Final energy   -3.868 eV per atom
Relative energy among the computed polymorphs   0.000 eV per atom
DOS at the Fermi energy   8.02 states/eV per cell

a = 4.7015 Å, b = 4.7015 Å, c = 28.2613 Å
α = 90.00°, β = 90.00°, γ = 120.00°
Space group R-3m (No. 166, hexagonal axes)
Symmetry-distinct sites (fractional):
Ba (0.0000, 0.0000, 0.0778) x6
Ge (0.0000, 0.0000, 0.3321) x6
I (0.0000, 0.0000, 0.5000) x3

---

No. 7
First-principles (PBE) data for a relaxed structure of Ba4GeI4, as listed in Alexandria via LeMat-Bulk.

Output
ΔE_f (raw)   -1.411 eV/atom
Final energy   -3.468 eV per atom

a = 17.101 Å, b = 4.994 Å, c = 12.304 Å
α = 90.00°, β = 120.29°, γ = 90.00°
Space group C2/m (No. 12)
Symmetry-distinct sites (fractional):
Ba (0.079, 0.000, 0.403) x4
Ba (0.186, 0.500, 0.772) x4
Ge (0.000, 0.500, 0.500) x2
I (0.117, 0.000, 0.908) x4
I (0.201, 0.500, 0.309) x4

---

No. 8
First-principles (PBE) data for a relaxed structure of Ba2GeI6, as listed in Alexandria via LeMat-Bulk.

Output
ΔE_f (raw)   -1.233 eV/atom
Final energy   -3.207 eV per atom
Relative energy among the computed polymorphs   0.060 eV per atom
DOS at the Fermi energy   0.00 states/eV per cell

a = 7.799 Å, b = 7.799 Å, c = 15.042 Å
α = 90.00°, β = 90.00°, γ = 90.00°
Space group P4_2/mnm (No. 136)
Symmetry-distinct sites (fractional):
Ba (0.000, 0.000, 0.167) x4
Ge (0.000, 0.000, 0.500) x2
I (0.187, 0.187, 0.352) x8
I (0.220, 0.220, 0.000) x4

---

No. 9
First-principles (PBE) data for a relaxed structure of BaGe2I, as listed in Alexandria via LeMat-Bulk.

Output
ΔE_f (raw)   0.093 eV/atom
Final energy   -3.084 eV per atom
Relative energy among the computed polymorphs   0.000 eV per atom
DOS at the Fermi energy   17.34 states/eV per cell

a = 9.206 Å, b = 9.206 Å, c = 6.420 Å
α = 90.00°, β = 90.00°, γ = 90.00°
Space group I-42d (No. 122)
Symmetry-distinct sites (fractional):
Ba (0.000, 0.000, 0.000) x4
Ge (0.228, 0.250, 0.625) x8
I (0.000, 0.000, 0.500) x4

---

No. 10
First-principles (PBE) data for a relaxed structure of Ba2GeI6, as listed in Alexandria via LeMat-Bulk.

Output
ΔE_f (raw)   -1.293 eV/atom
Final energy   -3.267 eV per atom
Relative energy among the computed polymorphs   0.000 eV per atom
DOS at the Fermi energy   0.00 states/eV per cell

a = 7.796 Å, b = 8.992 Å, c = 13.493 Å
α = 90.00°, β = 124.51°, γ = 90.00°
Space group P2_1/c (No. 14)
Symmetry-distinct sites (fractional):
Ba (0.216, 0.111, 0.254) x4
Ge (0.500, 0.000, 0.000) x2
I (0.118, 0.169, 0.943) x4
I (0.285, 0.698, 0.946) x4
I (0.356, 0.026, 0.742) x4

---

No. 11
First-principles (PBE) data for a relaxed structure of BaGeI4, as listed in Alexandria via LeMat-Bulk.

Output
ΔE_f (raw)   -1.006 eV/atom
Final energy   -3.129 eV per atom
Relative energy among the computed polymorphs   0.009 eV per atom
DOS at the Fermi energy   0.00 states/eV per cell

a = 17.234 Å, b = 4.676 Å, c = 8.359 Å
α = 90.00°, β = 117.31°, γ = 90.00°
Space group C2/m (No. 12)
Symmetry-distinct sites (fractional):
Ba (0.000, 0.000, 0.000) x2
Ge (0.000, 0.500, 0.500) x2
I (0.111, 0.000, 0.468) x4
I (0.119, 0.500, 0.905) x4

---

No. 12
First-principles (PBE) data for a relaxed structure of Ba5GeI5, as listed in Alexandria via LeMat-Bulk.

Output
ΔE_f (raw)   -1.393 eV/atom
Final energy   -3.392 eV per atom
DOS at the Fermi energy   8.80 states/eV per cell

a = 15.944 Å, b = 7.003 Å, c = 10.020 Å
α = 90.00°, β = 108.88°, γ = 90.00°
Space group C2/m (No. 12)
Symmetry-distinct sites (fractional):
Ba (0.000, 0.000, 0.000) x2
Ba (0.151, 0.500, 0.307) x4
Ba (0.151, 0.500, 0.847) x4
Ge (0.000, 0.500, 0.000) x2
I (0.000, 0.500, 0.500) x2
I (0.167, 0.000, 0.828) x4
I (0.180, 0.000, 0.336) x4

---

No. 13
First-principles (PBE) data for a relaxed structure of BaGeI4, as listed in Alexandria via LeMat-Bulk.

Output
ΔE_f (raw)   -1.014 eV/atom
Final energy   -3.138 eV per atom
Relative energy among the computed polymorphs   0.000 eV per atom
DOS at the Fermi energy   0.00 states/eV per cell

a = 10.104 Å, b = 16.525 Å, c = 7.684 Å
α = 90.00°, β = 126.00°, γ = 90.00°
Space group C2/c (No. 15)
Symmetry-distinct sites (fractional):
Ba (0.000, 0.125, 0.250) x4
Ge (0.000, 0.417, 0.750) x4
I (0.145, 0.293, 0.654) x8
I (0.245, 0.041, 0.775) x8

---

No. 14
First-principles (PBE) data for a relaxed structure of Ba2GeI4, as listed in Alexandria via LeMat-Bulk.

Output
ΔE_f (raw)   -0.923 eV/atom
Final energy   -3.018 eV per atom
DOS at the Fermi energy   8.58 states/eV per cell

a = 5.794 Å, b = 5.794 Å, c = 18.826 Å
α = 90.00°, β = 90.00°, γ = 90.00°
Space group I4/mmm (No. 139)
Symmetry-distinct sites (fractional):
Ba (0.000, 0.000, 0.124) x4
Ge (0.000, 0.000, 0.500) x2
I (0.000, 0.000, 0.304) x4
I (0.000, 0.500, 0.000) x4

---

No. 15
First-principles (PBE) data for a relaxed structure of BaGe2I, as listed in Alexandria via LeMat-Bulk.

Output
ΔE_f (raw)   0.162 eV/atom
Final energy   -3.015 eV per atom
Relative energy among the computed polymorphs   0.069 eV per atom
DOS at the Fermi energy   14.25 states/eV per cell

a = 7.896 Å, b = 7.896 Å, c = 7.896 Å
α = 90.00°, β = 90.00°, γ = 90.00°
Space group Fm-3m (No. 225)
Symmetry-distinct sites (fractional):
Ba (0.000, 0.000, 0.000) x4
Ge (0.250, 0.250, 0.250) x8
I (0.000, 0.000, 0.500) x4

---

No. 16
First-principles (PBE) data for a relaxed structure of Ba4GeI5, as listed in Alexandria via LeMat-Bulk.

Output
ΔE_f (raw)   -1.432 eV/atom
Final energy   -3.437 eV per atom
DOS at the Fermi energy   8.98 states/eV per cell

a = 22.013 Å, b = 5.021 Å, c = 9.775 Å
α = 90.00°, β = 107.03°, γ = 90.00°
Space group C2/m (No. 12)
Symmetry-distinct sites (fractional):
Ba (0.000, 0.000, 0.233) x4
Ba (0.164, 0.500, 0.117) x4
Ge (0.000, 0.500, 0.000) x2
I (0.000, 0.500, 0.500) x2
I (0.166, 0.000, 0.360) x4
I (0.169, 0.000, 0.865) x4

---

No. 17
First-principles (PBE) data for a relaxed structure of BaGe2I8, as listed in Alexandria via LeMat-Bulk.

Output
ΔE_f (raw)   -0.624 eV/atom
Final energy   -2.765 eV per atom

a = 15.059 Å, b = 11.604 Å, c = 7.456 Å
α = 90.00°, β = 103.00°, γ = 90.00°
Space group C2/m (No. 12)
Symmetry-distinct sites (fractional):
Ba (0.000, 0.000, 0.000) x2
Ge (0.220, 0.000, 0.700) x4
I (0.099, 0.500, 0.107) x4
I (0.118, 0.183, 0.762) x8
I (0.207, 0.000, 0.329) x4

---

No. 18
First-principles (PBE) data for a relaxed structure of Ba4GeI2, as listed in Alexandria via LeMat-Bulk.

Output
ΔE_f (raw)   -0.883 eV/atom
Final energy   -3.084 eV per atom
DOS at the Fermi energy   13.55 states/eV per cell

a = 11.117 Å, b = 11.117 Å, c = 11.625 Å
α = 90.00°, β = 90.00°, γ = 90.00°
Space group P4_122 (No. 91)
Symmetry-distinct sites (fractional):
Ba (0.052, 0.310, 0.210) x8
Ba (0.259, 0.444, 0.524) x8
Ge (0.263, 0.500, 0.250) x4
I (0.000, 0.207, 0.500) x4
I (0.251, 0.251, 0.875) x4

---

No. 19
First-principles (PBE) data for a relaxed structure of Ba2InGeI, as listed in Alexandria via LeMat-Bulk.

Output
ΔE_f (raw)   -0.592 eV/atom
Final energy   -3.142 eV per atom
DOS at the Fermi energy   3.38 states/eV per cell

a = 6.519 Å, b = 6.519 Å, c = 5.224 Å
α = 90.00°, β = 90.00°, γ = 90.00°
Space group P4/mmm (No. 123)
Symmetry-distinct sites (fractional):
Ba (0.000, 0.500, 0.000) x2
In (0.000, 0.000, 0.500) x1
Ge (0.000, 0.000, 0.000) x1
I (0.500, 0.500, 0.500) x1

---

No. 20
First-principles (PBE) data for a relaxed structure of Ba2GeIrI, as listed in Alexandria via LeMat-Bulk.

Output
ΔE_f (raw)   -0.806 eV/atom
Final energy   -4.581 eV per atom
DOS at the Fermi energy   2.28 states/eV per cell

a = 6.254 Å, b = 6.254 Å, c = 4.709 Å
α = 90.00°, β = 90.00°, γ = 90.00°
Space group P4/mmm (No. 123)
Symmetry-distinct sites (fractional):
Ba (0.000, 0.500, 0.000) x2
Ge (0.000, 0.000, 0.500) x1
Ir (0.000, 0.000, 0.000) x1
I (0.500, 0.500, 0.500) x1